1.
# Tc2As (PBE, optimized geometry)
# * calculated density: 10.0 Mg/m³
# * energy: -0.6232 Ry per atom
# * spin magnetization: 0.0 μB/f.u.
# * excess energy over the best structure of this formula in the dataset: 120 meV per atom
# * ΔH_f (0 K): -0.02 eV per atom
# * DOS(E_F): 8.76 states/eV per cell
data_Tc2As
_cell_length_a 10.085
_cell_length_b 2.925
_cell_length_c 6.468
_cell_angle_alpha 90.00
_cell_angle_beta 108.69
_cell_angle_gamma 90.00
_symmetry_space_group_name_H-M 'C 1 2/m 1'
_symmetry_Int_Tables_number 12
_symmetry_space_group_name_Hall '-C 2y'
loop_
_atom_site_label
_atom_site_type_symbol
_atom_site_fract_x
_atom_site_fract_y
_atom_site_fract_z
Tc1 Tc 0.059 0.000 0.305
Tc2 Tc 0.130 0.500 0.004
As1 As 0.180 0.500 0.654

2.
# TcAs3 (PBE, optimized geometry)
# * calculated density: 7.3 Mg/m³
# * energy: -0.4312 Ry per atom
# * spin magnetization: 0.0 μB/f.u.
# * excess energy over the best structure of this formula in the dataset: 277 meV per atom
# * ΔH_f (0 K): 0.21 eV per atom
# * DOS(E_F): 6.21 states/eV per cell
data_TcAs3
_cell_length_a 3.054
_cell_length_b 4.151
_cell_length_c 11.624
_cell_angle_alpha 90.00
_cell_angle_beta 90.00
_cell_angle_gamma 90.00
_symmetry_space_group_name_H-M 'I m m m'
_symmetry_Int_Tables_number 71
_symmetry_space_group_name_Hall '-I 2 2'
loop_
_atom_site_label
_atom_site_type_symbol
_atom_site_fract_x
_atom_site_fract_y
_atom_site_fract_z
Tc1 Tc 0.000 0.000 0.000
As1 As 0.000 0.000 0.500
As2 As 0.000 0.500 0.314

3.
# Tc2As (PBE, optimized geometry)
# * calculated density: 10.0 Mg/m³
# * energy: -0.6192 Ry per atom
# * spin magnetization: 0.0 μB/f.u.
# * excess energy over the best structure of this formula in the dataset: 173 meV per atom
# * ΔH_f (0 K): 0.04 eV per atom
# * DOS(E_F): 8.26 states/eV per cell
data_Tc2As
_cell_length_a 6.2413
_cell_length_b 6.2413
_cell_length_c 3.9995
_cell_angle_alpha 90.00
_cell_angle_beta 90.00
_cell_angle_gamma 120.00
_symmetry_space_group_name_H-M 'P -6 2 m'
_symmetry_Int_Tables_number 189
_symmetry_space_group_name_Hall 'P -6 -2'
loop_
_atom_site_label
_atom_site_type_symbol
_atom_site_fract_x
_atom_site_fract_y
_atom_site_fract_z
Tc1 Tc 0.0000 0.2538 0.0000
Tc2 Tc 0.0000 0.5892 0.5000
As1 As 0.0000 0.0000 0.5000
As2 As 0.3333 0.6667 0.0000

4.
# Tc3As (PBE, optimized geometry)
# * calculated density: 10.3 Mg/m³
# * energy: -0.6506 Ry per atom
# * spin magnetization: 0.0 μB/f.u.
# * excess energy over the best structure of this formula in the dataset: 111 meV per atom
# * ΔH_f (0 K): 0.08 eV per atom
# * DOS(E_F): 2.17 states/eV per cell
data_Tc3As
_cell_length_a 2.902
_cell_length_b 4.485
_cell_length_c 4.574
_cell_angle_alpha 90.00
_cell_angle_beta 90.00
_cell_angle_gamma 90.00
_symmetry_space_group_name_H-M 'P m m 2'
_symmetry_Int_Tables_number 25
_symmetry_space_group_name_Hall 'P 2 -2'
loop_
_atom_site_label
_atom_site_type_symbol
_atom_site_fract_x
_atom_site_fract_y
_atom_site_fract_z
Tc1 Tc 0.000 0.000 0.000
Tc2 Tc 0.000 0.500 0.262
Tc3 Tc 0.500 0.500 0.753
As1 As 0.500 0.000 0.464

5.
# Tc2As (PBE, optimized geometry)
# * calculated density: 9.2 Mg/m³
# * energy: -0.5979 Ry per atom
# * spin magnetization: 0.0 μB/f.u.
# * excess energy over the best structure of this formula in the dataset: 463 meV per atom
# * ΔH_f (0 K): 0.32 eV per atom
# * DOS(E_F): 15.01 states/eV per cell
data_Tc2As
_cell_length_a 5.813
_cell_length_b 5.813
_cell_length_c 5.813
_cell_angle_alpha 90.00
_cell_angle_beta 90.00
_cell_angle_gamma 90.00
_symmetry_space_group_name_H-M 'F m -3 m'
_symmetry_Int_Tables_number 225
_symmetry_space_group_name_Hall '-F 4 2 3'
loop_
_atom_site_label
_atom_site_type_symbol
_atom_site_fract_x
_atom_site_fract_y
_atom_site_fract_z
Tc1 Tc 0.250 0.250 0.250
As1 As 0.000 0.000 0.000

6.
# Tc5As (PBE, optimized geometry)
# * calculated density: 10.7 Mg/m³
# * energy: -0.6887 Ry per atom
# * spin magnetization: 0.0 μB/f.u.
# * excess energy over the best structure of this formula in the dataset: 14 meV per atom
# * ΔH_f (0 K): 0.04 eV per atom
# * DOS(E_F): 12.26 states/eV per cell
data_Tc5As
_cell_length_a 4.376
_cell_length_b 2.849
_cell_length_c 14.105
_cell_angle_alpha 90.00
_cell_angle_beta 90.00
_cell_angle_gamma 90.00
_symmetry_space_group_name_H-M 'A m m 2'
_symmetry_Int_Tables_number 38
_symmetry_space_group_name_Hall 'A 2 -2'
loop_
_atom_site_label
_atom_site_type_symbol
_atom_site_fract_x
_atom_site_fract_y
_atom_site_fract_z
Tc1 Tc 0.000 0.000 0.000
Tc2 Tc 0.000 0.000 0.331
Tc3 Tc 0.000 0.000 0.663
Tc4 Tc 0.500 0.000 0.108
Tc5 Tc 0.500 0.000 0.770
As1 As 0.500 0.000 0.447

7.
# TcAs (PBE, optimized geometry)
# * calculated density: 7.5 Mg/m³
# * energy: -0.5482 Ry per atom
# * spin magnetization: 0.0 μB/f.u.
# * excess energy over the best structure of this formula in the dataset: 252 meV per atom
# * ΔH_f (0 K): 0.05 eV per atom
# * DOS(E_F): 3.95 states/eV per cell
data_TcAs
_cell_length_a 9.2294
_cell_length_b 9.2294
_cell_length_c 3.1198
_cell_angle_alpha 90.00
_cell_angle_beta 90.00
_cell_angle_gamma 120.00
_symmetry_space_group_name_H-M 'P 63/m'
_symmetry_Int_Tables_number 176
_symmetry_space_group_name_Hall '-P 6c'
loop_
_atom_site_label
_atom_site_type_symbol
_atom_site_fract_x
_atom_site_fract_y
_atom_site_fract_z
Tc1 Tc 0.1379 0.6327 0.2500
As1 As 0.0492 0.3345 0.2500

8.
# TcAs (PBE, optimized geometry)
# * calculated density: 5.3 Mg/m³
# * energy: -0.5328 Ry per atom
# * spin magnetization: 0.0 μB/f.u.
# * excess energy over the best structure of this formula in the dataset: 462 meV per atom
# * ΔH_f (0 K): 0.26 eV per atom
# * DOS(E_F): 14.92 states/eV per cell
data_TcAs
_cell_length_a 7.567
_cell_length_b 7.567
_cell_length_c 7.567
_cell_angle_alpha 90.00
_cell_angle_beta 90.00
_cell_angle_gamma 90.00
_symmetry_space_group_name_H-M 'I -4 3 m'
_symmetry_Int_Tables_number 217
_symmetry_space_group_name_Hall 'I -4 2 3'
loop_
_atom_site_label
_atom_site_type_symbol
_atom_site_fract_x
_atom_site_fract_y
_atom_site_fract_z
Tc1 Tc 0.128 0.128 0.872
As1 As 0.185 0.185 0.185

9.
# TcAs3 (PBE, optimized geometry)
# * calculated density: 8.0 Mg/m³
# * energy: -0.4147 Ry per atom
# * spin magnetization: 0.0 μB/f.u.
# * excess energy over the best structure of this formula in the dataset: 502 meV per atom
# * ΔH_f (0 K): 0.44 eV per atom
# * DOS(E_F): 7.60 states/eV per cell
data_TcAs3
_cell_length_a 5.676
_cell_length_b 7.395
_cell_length_c 3.194
_cell_angle_alpha 90.00
_cell_angle_beta 90.00
_cell_angle_gamma 90.00
_symmetry_space_group_name_H-M 'C m m m'
_symmetry_Int_Tables_number 65
_symmetry_space_group_name_Hall '-C 2 2'
loop_
_atom_site_label
_atom_site_type_symbol
_atom_site_fract_x
_atom_site_fract_y
_atom_site_fract_z
Tc1 Tc 0.000 0.000 0.000
As1 As 0.000 0.500 0.000
As2 As 0.250 0.250 0.500

10.
# Tc8As (PBE, optimized geometry)
# * calculated density: 10.8 Mg/m³
# * energy: -0.7131 Ry per atom
# * spin magnetization: 0.0 μB/f.u.
# * ΔH_f (0 K): 0.03 eV per atom
# * DOS(E_F): 17.49 states/eV per cell
data_Tc8As
_cell_length_a 8.245
_cell_length_b 8.245
_cell_length_c 3.893
_cell_angle_alpha 90.00
_cell_angle_beta 90.00
_cell_angle_gamma 90.00
_symmetry_space_group_name_H-M 'I 4/m m m'
_symmetry_Int_Tables_number 139
_symmetry_space_group_name_Hall '-I 4 2'
loop_
_atom_site_label
_atom_site_type_symbol
_atom_site_fract_x
_atom_site_fract_y
_atom_site_fract_z
Tc1 Tc 0.000 0.341 0.000
Tc2 Tc 0.173 0.173 0.500
As1 As 0.000 0.000 0.000

11.
# TcAs3 (PBE, optimized geometry)
# * calculated density: 5.9 Mg/m³
# * energy: -0.4273 Ry per atom
# * spin magnetization: 0.0 μB/f.u.
# * excess energy over the best structure of this formula in the dataset: 330 meV per atom
# * ΔH_f (0 K): 0.26 eV per atom
# * DOS(E_F): 4.09 states/eV per cell
data_TcAs3
_cell_length_a 6.5378
_cell_length_b 6.5378
_cell_length_c 4.9425
_cell_angle_alpha 90.00
_cell_angle_beta 90.00
_cell_angle_gamma 120.00
_symmetry_space_group_name_H-M 'P 63 2 2'
_symmetry_Int_Tables_number 182
_symmetry_space_group_name_Hall 'P 6c 2c'
loop_
_atom_site_label
_atom_site_type_symbol
_atom_site_fract_x
_atom_site_fract_y
_atom_site_fract_z
Tc1 Tc 0.3333 0.6667 0.2500
As1 As 0.0000 0.3612 0.0000

12.
# Tc3As (PBE, optimized geometry)
# * calculated density: 10.3 Mg/m³
# * energy: -0.6417 Ry per atom
# * spin magnetization: 0.0 μB/f.u.
# * excess energy over the best structure of this formula in the dataset: 232 meV per atom
# * ΔH_f (0 K): 0.21 eV per atom
# * DOS(E_F): 8.15 states/eV per cell
data_Tc3As
_cell_length_a 5.008
_cell_length_b 8.189
_cell_length_c 2.901
_cell_angle_alpha 90.00
_cell_angle_beta 90.00
_cell_angle_gamma 90.00
_symmetry_space_group_name_H-M 'C m m m'
_symmetry_Int_Tables_number 65
_symmetry_space_group_name_Hall '-C 2 2'
loop_
_atom_site_label
_atom_site_type_symbol
_atom_site_fract_x
_atom_site_fract_y
_atom_site_fract_z
Tc1 Tc 0.000 0.000 0.000
Tc2 Tc 0.250 0.250 0.500
As1 As 0.000 0.500 0.000